w:
## AcTmAu2 (PBE-GGA)

Data for crystalline AcTmAu2 at its relaxed geometry.

a b c (Å): 4.4347 4.4347 20.5895
angles (deg): 90.00 90.00 120.00
With the nearest neighbours (Å) after each atom.
Space group R-3m (No. 166, hexagonal axes)
Inequivalent atoms, fractional coordinates:
1 Ac 0.0000 0.0000 0.0000 (multiplicity 3)  6 Au 3.25
2 Tm 0.0000 0.0000 0.5000 (multiplicity 3)  6 Au 2.93
3 Au 0.0000 0.0000 0.2357 (multiplicity 6)  3 Tm 2.93, 3 Ac 3.25


x:
## AcTmAu2 (PBE-GGA)

Data for crystalline AcTmAu2 at its relaxed geometry.

a b c (Å): 3.6782 3.6782 7.6188
angles (deg): 90.00 90.00 90.00
With the nearest neighbours (Å) after each atom.
Space group P4/mmm (No. 123)
Inequivalent atoms, fractional coordinates:
1 Ac 0.0000 0.0000 0.0000 (multiplicity 1)  8 Au 3.42, 4 Ac 3.68, 2 Tm 3.81
2 Tm 0.0000 0.0000 0.5000 (multiplicity 1)  8 Au 3.05
3 Au 0.5000 0.5000 0.2905 (multiplicity 2)  4 Tm 3.05, 1 Au 3.19, 4 Ac 3.42


Least stable structure: w


w:
## AcTmAu (PBE-GGA)

Data for crystalline AcTmAu at its relaxed geometry.

a b c (Å): 3.7313 3.7313 13.0713
angles (deg): 90.00 90.00 90.00
With the nearest neighbours (Å) after each atom.
Space group I4mm (No. 107)
Inequivalent atoms, fractional coordinates:
1 Ac 0.0000 0.0000 0.0000 (multiplicity 2)  4 Au 3.52, 5 Tm 3.66-3.90, 4 Ac 3.73
2 Tm 0.0000 0.0000 0.2802 (multiplicity 2)  4 Au 2.95
3 Au 0.0000 0.0000 0.6788 (multiplicity 2)  4 Tm 2.95


x:
## AcTmAu (PBE-GGA)

Data for crystalline AcTmAu at its relaxed geometry.

a b c (Å): 4.8984 4.8984 4.5217
angles (deg): 90.00 90.00 120.00
With the nearest neighbours (Å) after each atom.
Space group P-6m2 (No. 187)
Inequivalent atoms, fractional coordinates:
1 Ac 0.0000 0.0000 0.0000 (multiplicity 1)  6 Au 3.62, 6 Tm 3.62
2 Tm 0.3333 0.6667 0.5000 (multiplicity 1)  3 Au 2.83
3 Au 0.6667 0.3333 0.5000 (multiplicity 1)  3 Tm 2.83


Least stable structure: x


w:
## AcTm2Au (PBE-GGA)

Data for crystalline AcTm2Au at its relaxed geometry.

a b c (Å): 4.7728 4.7728 5.0922
angles (deg): 90.00 90.00 90.00
With the nearest neighbours (Å) after each atom.
Space group P4/mmm (No. 123)
Inequivalent atoms, fractional coordinates:
1 Ac 0.0000 0.0000 0.0000 (multiplicity 1)  4 Au 3.37, 8 Tm 3.49
2 Tm 0.0000 0.5000 0.5000 (multiplicity 2)  4 Tm 3.37, 4 Ac 3.49, 4 Au 3.49
3 Au 0.5000 0.5000 0.0000 (multiplicity 1)  4 Ac 3.37, 8 Tm 3.49


x:
## AcTm2Au (PBE-GGA)

Data for crystalline AcTm2Au at its relaxed geometry.

a b c (Å): 3.6553 3.6553 8.8114
angles (deg): 90.00 90.00 90.00
With the nearest neighbours (Å) after each atom.
Space group P4/mmm (No. 123)
Inequivalent atoms, fractional coordinates:
1 Ac 0.0000 0.0000 0.0000 (multiplicity 1)  4 Ac 3.66, 8 Tm 3.76
2 Tm 0.5000 0.5000 0.3104 (multiplicity 2)  4 Au 3.08, 1 Tm 3.34
3 Au 0.0000 0.0000 0.5000 (multiplicity 1)  8 Tm 3.08


y:
## AcTm2Au (PBE-GGA)

Data for crystalline AcTm2Au at its relaxed geometry.

a b c (Å): 3.8742 3.8742 29.6789
angles (deg): 90.00 90.00 120.00
With the nearest neighbours (Å) after each atom.
Space group R3m (No. 160, hexagonal axes)
Inequivalent atoms, fractional coordinates:
1 Ac 0.0000 0.0000 0.0000 (multiplicity 3)  6 Tm 3.76-3.88, 6 Ac 3.87
2 Tm 0.0000 0.0000 0.5597 (multiplicity 3)  3 Au 2.91
3 Tm 0.0000 0.0000 0.7684 (multiplicity 3)  3 Au 2.89
4 Au 0.0000 0.0000 0.1635 (multiplicity 3)  6 Tm 2.89-2.91


Least stable structure: w